A plane-wave DFT calculation with PBE was carried out for crystalline KRuRh at its relaxed geometry.

The space group is Imm2 (No. 44) and the conventional cell measures 2.740, 3.923 and 12.155 Å, with angles of 90.00, 90.00 and 90.00 degrees. Symmetry generates all atoms from K at (0.000, 0.000, 0.000), Ru at (0.000, 0.000, 0.283) and Rh at (0.000, 0.000, 0.713).

The total energy comes out at -32.089 eV for the cell shown. As for the energy above the lowest structure with this stoichiometry: 0.076 eV/atom. Its mass density is 6.2 Mg/m³. The energy relative to the elements is 0.56 eV/atom.